1.
CaCd2Pd6 | the Alexandria database | PBE | relaxed; calculated formation energy = -0.174 eV/atom; final energy = -4.062 eV per atom; DOS at the Fermi energy = 5.7 states/eV/cell
1.0
4.497 0.000 0.000
2.248 7.107 1.716
2.248 3.684 6.315
Cd Pd Ca
2 6 1
Direct
0.380 0.120 0.120
0.620 0.880 0.880
0.000 0.227 0.773
0.000 0.773 0.227
0.803 0.448 0.945
0.803 0.945 0.448
0.197 0.552 0.055
0.197 0.055 0.552
0.500 0.500 0.500

2.
GaCo2TcH | the Alexandria database | PBE | relaxed; final energy = -6.192 eV per atom; DOS at the Fermi energy = 5.4 states/eV/cell
1.0
3.724 0.000 0.000
0.000 3.724 0.000
0.000 0.000 3.825
Tc Ga Co H
1 1 2 1
Direct
0.000 0.000 0.500
0.500 0.500 0.500
0.500 0.000 0.000
0.000 0.500 0.000
0.000 0.000 0.000